The following is a DFT calculation (PBE) of a relaxed Cs2AlP3O10 crystal.

The value obtained for the total energy is -6.88 eV per atom. The value obtained for the energy relative to the elements, uncorrected is -2.425 eV/atom. As for the space-group type: P2_1/c (14). For the size of the total moment, the calculation gives 0.00 μB/f.u.

CIF file:
```
data_Cs2AlP3O10
_cell_length_a 9.1820
_cell_length_b 9.5404
_cell_length_c 12.5069
_cell_angle_alpha 94.54
_cell_angle_beta 90.00
_cell_angle_gamma 90.00
_symmetry_space_group_name_H-M 'P 1'
_symmetry_Int_Tables_number 1
loop_
_symmetry_equiv_pos_as_xyz
'x,y,z'
loop_
_atom_site_label
_atom_site_type_symbol
_atom_site_fract_x
_atom_site_fract_y
_atom_site_fract_z
Cs1 Cs 0.1234 0.9993 0.8535
Cs2 Cs 0.6234 0.5007 0.1465
Cs3 Cs 0.8766 0.0007 0.1465
Cs4 Cs 0.3766 0.4993 0.8535
Cs5 Cs 0.1129 0.2338 0.5405
Cs6 Cs 0.6129 0.2662 0.4595
Cs7 Cs 0.8871 0.7662 0.4595
Cs8 Cs 0.3871 0.7338 0.5405
Al1 Al 0.1505 0.6434 0.1446
Al2 Al 0.6505 0.8566 0.8554
Al3 Al 0.8495 0.3566 0.8554
Al4 Al 0.3495 0.1434 0.1446
P1 P 0.0839 0.3213 0.0478
P2 P 0.5839 0.1787 0.9522
P3 P 0.9161 0.6787 0.9522
P4 P 0.4161 0.8213 0.0478
P5 P 0.0267 0.5770 0.7411
P6 P 0.5267 0.9230 0.2589
P7 P 0.9733 0.4230 0.2589
P8 P 0.4733 0.0770 0.7411
P9 P 0.2100 0.9315 0.3016
P10 P 0.7100 0.5685 0.6984
P11 P 0.7900 0.0685 0.6984
P12 P 0.2900 0.4315 0.3016
O1 O 0.1385 0.8138 0.2293
O2 O 0.6385 0.6862 0.7707
O3 O 0.8615 0.1862 0.7707
O4 O 0.3615 0.3138 0.2293
O5 O 0.3088 0.7012 0.0603
O6 O 0.8088 0.7988 0.9397
O7 O 0.6912 0.2988 0.9397
O8 O 0.1912 0.2013 0.0603
O9 O 0.2806 0.5671 0.2436
O10 O 0.7806 0.9329 0.7564
O11 O 0.7194 0.4329 0.7564
O12 O 0.2194 0.0671 0.2436
O13 O 0.0102 0.7171 0.0503
O14 O 0.5102 0.7829 0.9497
O15 O 0.9898 0.2829 0.9497
O16 O 0.4898 0.2171 0.0503
O17 O 0.1531 0.4667 0.0541
O18 O 0.6531 0.0333 0.9459
O19 O 0.8469 0.5333 0.9459
O20 O 0.3469 0.9667 0.0541
O21 O 0.9879 0.5726 0.2258
O22 O 0.4879 0.9274 0.7742
O23 O 0.0121 0.4274 0.7742
O24 O 0.5121 0.0726 0.2258
O25 O 0.9698 0.3184 0.1498
O26 O 0.4698 0.1816 0.8502
O27 O 0.0302 0.6816 0.8502
O28 O 0.5302 0.8184 0.1498
O29 O 0.1570 0.6096 0.6766
O30 O 0.6570 0.8904 0.3234
O31 O 0.8430 0.3904 0.3234
O32 O 0.3430 0.1096 0.6766
O33 O 0.8821 0.6197 0.6803
O34 O 0.3821 0.8803 0.3197
O35 O 0.1179 0.3803 0.3197
O36 O 0.6179 0.1197 0.6803
O37 O 0.1472 0.9488 0.4128
O38 O 0.6472 0.5512 0.5872
O39 O 0.8528 0.0512 0.5872
O40 O 0.3528 0.4488 0.4128
```